Material: NaTl4Au
Method: DFT, PBE
State: optimized geometry

Cell: 7.4496 7.4496 7.7636 Å, 93.94 93.94 51.64°
Last column: nearest neighbours and their distance in Å.
Fractional coordinates of all 12 atoms:
1 Na 0.1165 0.1165 0.2162  5 Tl 3.21-3.28, 2 Au 3.35
2 Na 0.8835 0.8835 0.7838  5 Tl 3.21-3.28, 2 Au 3.35
3 Tl 0.1080 0.6005 0.1316  2 Au 3.13-3.18, 5 Tl 3.20-3.47, 1 Na 3.21
4 Tl 0.2496 0.7504 0.5000  2 Au 3.19, 2 Na 3.23, 6 Tl 3.24-3.50
5 Tl 0.2746 0.2746 0.5606  1 Au 2.93, 1 Na 3.28
6 Tl 0.3995 0.8920 0.8684  2 Au 3.13-3.18, 5 Tl 3.20-3.47, 1 Na 3.21
7 Tl 0.6005 0.1080 0.1316  2 Au 3.13-3.18, 5 Tl 3.20-3.47, 1 Na 3.21
8 Tl 0.7254 0.7254 0.4394  1 Au 2.93, 1 Na 3.28
9 Tl 0.7504 0.2496 0.5000  2 Au 3.19, 2 Na 3.23, 6 Tl 3.24-3.50
10 Tl 0.8920 0.3995 0.8684  2 Au 3.13-3.18, 5 Tl 3.20-3.47, 1 Na 3.21
11 Au 0.4402 0.4402 0.8299  7 Tl 2.93-3.19, 1 Au 2.98
12 Au 0.5598 0.5598 0.1701  7 Tl 2.93-3.19, 1 Au 2.98

The calculation puts the volume at 168.4 Å³/f.u. The symmetry is C2/m, No. 12. The total magnetization comes out at 0.000 μB/atom. The formation enthalpy at 0 K is -0.05 eV per atom.